Crystalline Pm4Nd15In at its relaxed geometry. Source: the Alexandria database, functional GGA-PBE.

## Properties
- DFT formation energy: -37 meV per atom
- N(E_F): 27.4 states/eV/f.u.
- SG: No. 123
- Calculated density: 6.924 g cm⁻³
- Size of the total moment: 0.0000 μB/atom

Structure (POSCAR):
```
Pm4Nd15In
1.0
5.133 0.000 0.000
0.000 5.133 0.000
0.000 0.000 26.015
Nd Pm In
15 4 1
Direct
0.500 0.500 0.000
0.500 0.500 0.601
0.500 0.500 0.196
0.000 0.500 0.500
0.500 0.500 0.399
0.000 0.500 0.298
0.500 0.000 0.095
0.000 0.500 0.095
0.000 0.500 0.905
0.000 0.500 0.702
0.500 0.000 0.905
0.500 0.500 0.804
0.500 0.000 0.500
0.500 0.000 0.298
0.500 0.000 0.702
0.000 0.000 0.803
0.000 0.000 0.399
0.000 0.000 0.601
0.000 0.000 0.197
0.000 0.000 0.000
```